This record from the Alexandria database describes a relaxed MnBeN2O crystal. The functional is GGA+U.

Output
As for the final energy: -5.61 eV/atom.

abc: 3.7344 3.7344 3.7687
angles: 90.00 90.00 90.00
Fractional coordinates of all 5 atoms:
Be: 0.5000 0.5000 0.5000
Mn: 0.0000 0.0000 0.0000
O: 0.0000 0.0000 0.5000
N: 0.0000 0.5000 0.0000
N: 0.5000 0.0000 0.0000